# 1
VASP calculation (PBE-GGA) on a relaxed structure of YTl2GeSe4.

a = 4.077 Å, b = 7.911 Å, c = 7.251 Å
α = 72.25°, β = 90.00°, γ = 90.00°
Fractional coordinates of all 8 atoms:
Y 0.000 0.500 0.500
Tl 0.000 0.000 0.000
Tl 0.500 0.000 0.500
Ge 0.500 0.500 0.000
Se 0.000 0.703 0.771
Se 0.000 0.297 0.229
Se 0.500 0.704 0.256
Se 0.500 0.296 0.744

Output
E_form (uncorrected) in kJ per mole of atoms: -76.14
Space-group type: P2/m
Final energy in eV/atom: -4.51
Magnetization in μB per formula unit: 0.00
V in A^3/atom: 27.842
N(E_F) in states/eV per atom: 0.59


# 2
VASP calculation (PBE-GGA) on a relaxed structure of TlZnGeSe3.

a = 3.828 Å, b = 9.051 Å, c = 9.747 Å
α = 106.28°, β = 90.00°, γ = 90.00°
Fractional coordinates of all 12 atoms:
Tl 0.250 0.193 0.234
Tl 0.750 0.807 0.766
Zn 0.250 0.086 0.607
Zn 0.750 0.914 0.393
Ge 0.250 0.657 0.110
Ge 0.750 0.343 0.890
Se 0.750 0.871 0.129
Se 0.250 0.129 0.871
Se 0.250 0.795 0.482
Se 0.750 0.205 0.518
Se 0.750 0.462 0.159
Se 0.250 0.538 0.841

Output
E_form (uncorrected) in kJ per mole of atoms: -35.73
Space-group type: P2_1/m
Final energy in eV/atom: -3.49
Magnetization in μB per formula unit: 0.00
V in A^3/atom: 27.015
N(E_F) in states/eV per atom: 0.37


# 3
VASP calculation (PBE-GGA) on a relaxed structure of TlZnGe2Se6.

a = 7.077 Å, b = 9.514 Å, c = 9.514 Å
α = 84.51°, β = 71.61°, γ = 71.61°
Fractional coordinates of all 20 atoms:
Tl 0.250 0.783 0.217
Tl 0.750 0.217 0.783
Zn 0.250 0.191 0.809
Zn 0.750 0.809 0.191
Ge 0.298 0.795 0.637
Ge 0.202 0.363 0.205
Ge 0.702 0.205 0.363
Ge 0.798 0.637 0.795
Se 0.117 0.969 0.835
Se 0.383 0.165 0.031
Se 0.883 0.031 0.165
Se 0.617 0.835 0.969
Se 0.424 0.913 0.402
Se 0.076 0.598 0.087
Se 0.576 0.087 0.598
Se 0.924 0.402 0.913
Se 0.056 0.692 0.580
Se 0.444 0.420 0.308
Se 0.944 0.308 0.420
Se 0.556 0.580 0.692

Output
E_form (uncorrected) in kJ per mole of atoms: -24.48
Space-group type: C2/c
Final energy in eV/atom: -3.63
Magnetization in μB per formula unit: 0.00
V in A^3/atom: 28.841
N(E_F) in states/eV per atom: 0.11


# 4
VASP calculation (PBE-GGA) on a relaxed structure of Tm3GeSe2.

a = 4.076 Å, b = 5.720 Å, c = 7.025 Å
α = 114.03°, β = 106.87°, γ = 90.00°
Fractional coordinates of all 6 atoms:
Tm 0.842 0.342 0.184
Tm 0.158 0.658 0.816
Tm 0.500 0.000 0.500
Ge 0.500 0.500 0.500
Se 0.831 0.831 0.162
Se 0.169 0.169 0.838

Output
E_form (uncorrected) in kJ per mole of atoms: -146.10
Space-group type: Immm
Final energy in eV/atom: -5.68
Magnetization in μB per formula unit: 0.00
V in A^3/atom: 23.641
N(E_F) in states/eV per atom: 0.28


# 5
VASP calculation (PBE-GGA) on a relaxed structure of Tm2GeSe.

a = 4.034 Å, b = 4.034 Å, c = 7.361 Å
α = 74.10°, β = 74.10°, γ = 60.00°
Fractional coordinates of all 4 atoms:
Tm 0.076 0.076 0.771
Tm 0.258 0.258 0.226
Ge 0.668 0.668 0.996
Se 0.498 0.498 0.506

Output
E_form (uncorrected) in kJ per mole of atoms: -118.94
Space-group type: R3m
Relative energy among the computed polymorphs in eV/atom: 0.1119
Final energy in eV/atom: -5.49
Magnetization in μB per formula unit: 0.00
V in A^3/atom: 24.606
N(E_F) in states/eV per atom: 0.47


# 6
VASP calculation (PBE-GGA) on a relaxed structure of Tm3Ge2Se.

a = 4.070 Å, b = 4.070 Å, c = 9.114 Å
α = 102.90°, β = 102.90°, γ = 90.00°
Fractional coordinates of all 6 atoms:
Tm 0.833 0.833 0.665
Tm 0.167 0.167 0.335
Tm 0.500 0.500 0.000
Ge 0.336 0.336 0.672
Ge 0.664 0.664 0.328
Se 0.000 0.000 0.000

Output
E_form (uncorrected) in kJ per mole of atoms: -107.45
Space-group type: I4/mmm
Final energy in eV/atom: -5.47
Magnetization in μB per formula unit: 0.00
V in A^3/atom: 23.873
N(E_F) in states/eV per atom: 0.49


# 7
VASP calculation (PBE-GGA) on a relaxed structure of Tm4GeSe3.

a = 4.048 Å, b = 7.020 Å, c = 7.020 Å
α = 109.47°, β = 90.00°, γ = 90.00°
Fractional coordinates of all 8 atoms:
Ge 0.500 0.000 0.000
Tm 0.000 0.238 0.238
Tm 0.500 0.758 0.242
Tm 0.000 0.762 0.762
Tm 0.500 0.242 0.758
Se 0.000 0.000 0.500
Se 0.500 0.500 0.500
Se 0.000 0.500 0.000

Output
E_form (uncorrected) in kJ per mole of atoms: -150.04
Space-group type: Cmmm
Final energy in eV/atom: -5.67
Magnetization in μB per formula unit: 0.00
V in A^3/atom: 23.512
N(E_F) in states/eV per atom: 0.38


# 8
VASP calculation (PBE-GGA) on a relaxed structure of Tm6GeSe5.

a = 7.010 Å, b = 6.994 Å, c = 6.985 Å
α = 59.95°, β = 80.48°, γ = 70.71°
Fractional coordinates of all 12 atoms:
Ge 0.000 0.000 0.000
Tm 0.758 0.080 0.323
Tm 0.242 0.597 0.323
Tm 0.243 0.241 0.000
Tm 0.757 0.759 0.000
Tm 0.758 0.403 0.677
Tm 0.242 0.920 0.677
Se 0.500 0.170 0.660
Se 0.000 0.334 0.332
Se 0.500 0.500 0.000
Se 0.000 0.666 0.668
Se 0.500 0.830 0.340

Output
E_form (uncorrected) in kJ per mole of atoms: -154.62
Space-group type: C2/m
Final energy in eV/atom: -5.67
Magnetization in μB per formula unit: 0.00
V in A^3/atom: 23.316
N(E_F) in states/eV per atom: 0.42


# 9
VASP calculation (PBE-GGA) on a relaxed structure of Tm2GeSe4.

a = 6.205 Å, b = 6.205 Å, c = 7.622 Å
α = 114.02°, β = 114.02°, γ = 90.00°
Fractional coordinates of all 7 atoms:
Tm 0.750 0.250 0.500
Tm 0.250 0.750 0.500
Ge 0.500 0.500 0.000
Se 0.879 0.366 0.245
Se 0.366 0.879 0.245
Se 0.634 0.634 0.755
Se 0.121 0.121 0.755

Output
E_form (uncorrected) in kJ per mole of atoms: -105.80
Space-group type: I-42m
Final energy in eV/atom: -5.02
Magnetization in μB per formula unit: 0.00
V in A^3/atom: 34.286
N(E_F) in states/eV per atom: 0.00


# 10
VASP calculation (PBE-GGA) on a relaxed structure of TmGeSe2.

a = 4.205 Å, b = 4.205 Å, c = 6.737 Å
α = 71.81°, β = 71.81°, γ = 60.00°
Fractional coordinates of all 4 atoms:
Ge 0.000 0.000 0.000
Tm 0.500 0.500 0.500
Se 0.251 0.251 0.248
Se 0.749 0.749 0.752

Output
E_form (uncorrected) in kJ per mole of atoms: -81.51
Space-group type: R-3m
Final energy in eV/atom: -4.86
Magnetization in μB per formula unit: 0.00
V in A^3/atom: 24.063
N(E_F) in states/eV per atom: 0.68


# 11
VASP calculation (PBE-GGA) on a relaxed structure of TmGeSe4.

a = 6.039 Å, b = 6.039 Å, c = 9.301 Å
α = 90.00°, β = 90.00°, γ = 103.28°
Fractional coordinates of all 12 atoms:
Tm 0.375 0.375 0.750
Tm 0.625 0.625 0.250
Ge 0.905 0.905 0.750
Ge 0.095 0.095 0.250
Se 0.709 0.117 0.250
Se 0.291 0.883 0.750
Se 0.117 0.709 0.250
Se 0.883 0.291 0.750
Se 0.680 0.680 0.562
Se 0.320 0.320 0.062
Se 0.680 0.680 0.938
Se 0.320 0.320 0.438

Output
E_form (uncorrected) in kJ per mole of atoms: -69.24
Space-group type: Cmcm
Final energy in eV/atom: -4.56
Magnetization in μB per formula unit: 0.00
V in A^3/atom: 27.505
N(E_F) in states/eV per atom: 0.55


# 12
VASP calculation (PBE-GGA) on a relaxed structure of TmGe6Se8.

a = 7.622 Å, b = 7.622 Å, c = 7.622 Å
α = 76.49°, β = 76.49°, γ = 76.49°
Fractional coordinates of all 15 atoms:
Tm 0.000 0.000 0.000
Ge 0.639 0.400 0.878
Ge 0.400 0.878 0.639
Ge 0.878 0.639 0.400
Ge 0.361 0.600 0.122
Ge 0.600 0.122 0.361
Ge 0.122 0.361 0.600
Se 0.719 0.719 0.719
Se 0.281 0.281 0.281
Se 0.675 0.861 0.183
Se 0.861 0.183 0.675
Se 0.183 0.675 0.861
Se 0.325 0.139 0.817
Se 0.139 0.817 0.325
Se 0.817 0.325 0.139

Output
E_form (uncorrected) in kJ per mole of atoms: -41.96
Space-group type: R-3
Final energy in eV/atom: -4.44
Magnetization in μB per formula unit: 0.00
V in A^3/atom: 27.407
N(E_F) in states/eV per atom: 0.52


# 13
VASP calculation (PBE-GGA) on a relaxed structure of Tm5GeSe5.

a = 5.695 Å, b = 7.005 Å, c = 8.058 Å
α = 106.74°, β = 90.00°, γ = 113.98°
Fractional coordinates of all 11 atoms:
Tm 0.841 0.681 0.170
Tm 0.838 0.677 0.670
Tm 0.500 0.000 0.000
Tm 0.162 0.323 0.330
Tm 0.159 0.319 0.830
Ge 0.000 0.000 0.000
Se 0.670 0.340 0.335
Se 0.669 0.339 0.835
Se 0.000 0.000 0.500
Se 0.331 0.661 0.165
Se 0.330 0.660 0.665

Output
E_form (uncorrected) in kJ per mole of atoms: -163.33
Space-group type: C2/m
Final energy in eV/atom: -5.73
Magnetization in μB per formula unit: 0.00
V in A^3/atom: 25.338
N(E_F) in states/eV per atom: 0.20


# 14
VASP calculation (PBE-GGA) on a relaxed structure of Tm2GeSe.

a = 4.075 Å, b = 4.075 Å, c = 7.097 Å
α = 73.31°, β = 73.31°, γ = 60.00°
Fractional coordinates of all 4 atoms:
Ge 0.000 0.000 0.000
Tm 0.255 0.255 0.235
Tm 0.745 0.745 0.765
Se 0.500 0.500 0.500

Output
E_form (uncorrected) in kJ per mole of atoms: -129.74
Space-group type: R-3m
Relative energy among the computed polymorphs in eV/atom: 0.0000
Final energy in eV/atom: -5.61
Magnetization in μB per formula unit: 0.00
V in A^3/atom: 24.074
N(E_F) in states/eV per atom: 0.21


# 15
VASP calculation (PBE-GGA) on a relaxed structure of Tm4GeSe3.

a = 5.711 Å, b = 5.711 Å, c = 5.711 Å
α = 90.00°, β = 90.00°, γ = 90.00°
Fractional coordinates of all 8 atoms:
Tm 0.500 0.000 0.000
Tm 0.000 0.500 0.000
Tm 0.000 0.000 0.500
Tm 0.500 0.500 0.500
Ge 0.000 0.000 0.000
Se 0.000 0.500 0.500
Se 0.500 0.000 0.500
Se 0.500 0.500 0.000

Output
E_form (uncorrected) in kJ per mole of atoms: -150.60
Space-group type: Pm-3m
Final energy in eV/atom: -5.68
Magnetization in μB per formula unit: 0.00
V in A^3/atom: 23.287
N(E_F) in states/eV per atom: 0.39


# 16
VASP calculation (PBE-GGA) on a relaxed structure of Tm8Ge5Se.

a = 7.519 Å, b = 7.519 Å, c = 7.519 Å
α = 109.58°, β = 109.25°, γ = 109.58°
Fractional coordinates of all 14 atoms:
Tm 0.126 0.752 0.013
Tm 0.987 0.113 0.739
Tm 0.751 0.244 0.366
Tm 0.634 0.385 0.878
Tm 0.493 0.615 0.249
Tm 0.626 0.887 0.874
Tm 0.261 0.248 0.374
Tm 0.122 0.756 0.507
Ge 0.006 0.377 0.128
Ge 0.872 0.878 0.249
Ge 0.751 0.623 0.629
Ge 0.500 0.000 0.500
Ge 0.371 0.122 0.994
Se 0.250 0.500 0.750

Output
E_form (uncorrected) in kJ per mole of atoms: -88.96
Space-group type: I-4
Final energy in eV/atom: -5.38
Magnetization in μB per formula unit: 0.00
V in A^3/atom: 23.373
N(E_F) in states/eV per atom: 0.81


# 17
VASP calculation (PBE-GGA) on a relaxed structure of U2GeSe.

a = 3.913 Å, b = 3.913 Å, c = 7.783 Å
α = 75.44°, β = 75.44°, γ = 60.00°
Each line ends with the local moment (μB).
Fractional coordinates of all 4 atoms:
U 0.080 0.080 0.760  2.40
U 0.254 0.254 0.239  2.46
Ge 0.668 0.668 0.997  -0.09
Se 0.499 0.499 0.503  -0.07

Output
E_form (uncorrected) in kJ per mole of atoms: -42.25
Space-group type: R3m
Relative energy among the computed polymorphs in eV/atom: 0.1019
Final energy in eV/atom: -8.11
Magnetization in μB per formula unit: 5.52
V in A^3/atom: 24.691
N(E_F) in states/eV per atom: 2.26


# 18
VASP calculation (PBE-GGA) on a relaxed structure of U2GeSe.

a = 4.217 Å, b = 4.217 Å, c = 6.769 Å
α = 71.85°, β = 71.85°, γ = 60.00°
Each line ends with the local moment (μB).
Fractional coordinates of all 4 atoms:
Ge 0.000 0.000 0.000  -0.08
U 0.750 0.750 0.751  2.30
U 0.250 0.250 0.249  2.30
Se 0.500 0.500 0.500  -0.06

Output
E_form (uncorrected) in kJ per mole of atoms: -52.08
Space-group type: R-3m
Relative energy among the computed polymorphs in eV/atom: 0.0000
Final energy in eV/atom: -8.21
Magnetization in μB per formula unit: 5.06
V in A^3/atom: 24.319
N(E_F) in states/eV per atom: 2.86


# 19
VASP calculation (PBE-GGA) on a relaxed structure of UGe2Se4.

a = 6.458 Å, b = 6.458 Å, c = 6.458 Å
α = 107.73°, β = 107.73°, γ = 113.01°
Each line ends with the local moment (μB).
Fractional coordinates of all 7 atoms:
U 0.500 0.500 0.000  2.32
Ge 0.250 0.750 0.500  -0.01
Ge 0.750 0.250 0.500  -0.01
Se 0.305 0.188 0.494  -0.07
Se 0.812 0.305 0.117  -0.07
Se 0.188 0.695 0.883  -0.07
Se 0.695 0.812 0.506  -0.07

Output
E_form (uncorrected) in kJ per mole of atoms: -21.98
Space-group type: I4/m
Final energy in eV/atom: -5.15
Magnetization in μB per formula unit: 2.03
V in A^3/atom: 29.534
N(E_F) in states/eV per atom: 0.61


# 20
VASP calculation (PBE-GGA) on a relaxed structure of U3GeSe8.

a = 8.293 Å, b = 8.293 Å, c = 13.006 Å
α = 90.00°, β = 90.00°, γ = 120.00°
Each line ends with the local moment (μB).
Fractional coordinates of all 24 atoms:
U 0.834 0.669 0.715  1.55
U 0.331 0.166 0.715  1.55
U 0.834 0.166 0.715  1.55
U 0.166 0.834 0.215  1.55
U 0.669 0.834 0.215  1.55
U 0.166 0.331 0.215  1.55
Ge 0.667 0.333 0.944  -0.01
Ge 0.333 0.667 0.444  -0.01
Se 0.839 0.678 0.108  -0.08
Se 0.513 0.487 0.838  -0.07
Se 0.667 0.333 0.600  -0.07
Se 0.000 0.000 0.832  -0.07
Se 0.000 0.000 0.332  -0.07
Se 0.322 0.161 0.108  -0.08
Se 0.975 0.487 0.838  -0.07
Se 0.513 0.025 0.838  -0.07
Se 0.161 0.839 0.608  -0.08
Se 0.839 0.161 0.108  -0.08
Se 0.487 0.975 0.338  -0.07
Se 0.025 0.513 0.338  -0.07
Se 0.333 0.667 0.100  -0.07
Se 0.678 0.839 0.608  -0.08
Se 0.487 0.513 0.338  -0.07
Se 0.161 0.322 0.608  -0.08

Output
E_form (uncorrected) in kJ per mole of atoms: -87.19
Space-group type: P6_3mc
Final energy in eV/atom: -6.43
Magnetization in μB per formula unit: 4.00
V in A^3/atom: 32.279
N(E_F) in states/eV per atom: 1.51


# 21
VASP calculation (PBE-GGA) on a relaxed structure of UGeSe.

a = 3.956 Å, b = 3.956 Å, c = 8.763 Å
α = 103.04°, β = 103.04°, γ = 90.00°
Each line ends with the local moment (μB).
Fractional coordinates of all 6 atoms:
U 0.363 0.363 0.726  2.05
U 0.637 0.637 0.274  2.05
Ge 0.000 0.500 0.000  -0.04
Ge 0.500 0.000 0.000  -0.04
Se 0.183 0.183 0.365  -0.07
Se 0.817 0.817 0.635  -0.07

Output
E_form (uncorrected) in kJ per mole of atoms: -77.50
Space-group type: I4/mmm
Final energy in eV/atom: -7.27
Magnetization in μB per formula unit: 2.10
V in A^3/atom: 21.657
N(E_F) in states/eV per atom: 1.74


# 22
VASP calculation (PBE-GGA) on a relaxed structure of U2Ge2Se7.

a = 8.486 Å, b = 7.052 Å, c = 7.052 Å
α = 113.61°, β = 93.20°, γ = 93.20°
Each line ends with the local moment (μB).
Fractional coordinates of all 11 atoms:
U 0.000 0.327 0.673  1.29
U 0.000 0.673 0.327  1.29
Ge 0.373 0.267 0.267  -0.01
Ge 0.627 0.733 0.733  -0.01
Se 0.822 0.959 0.609  -0.06
Se 0.178 0.391 0.041  -0.06
Se 0.178 0.041 0.391  -0.06
Se 0.822 0.609 0.959  -0.06
Se 0.500 0.000 0.000  -0.06
Se 0.195 0.617 0.617  -0.08
Se 0.805 0.383 0.383  -0.08

Output
E_form (uncorrected) in kJ per mole of atoms: -56.00
Space-group type: C2/m
Final energy in eV/atom: -5.69
Magnetization in μB per formula unit: 1.99
V in A^3/atom: 34.973
N(E_F) in states/eV per atom: 0.77


# 23
VASP calculation (PBE-GGA) on a relaxed structure of UGeSe2.

a = 3.806 Å, b = 3.806 Å, c = 9.350 Å
α = 78.26°, β = 78.26°, γ = 60.00°
Each line ends with the local moment (μB).
Fractional coordinates of all 4 atoms:
Ge 0.000 0.000 0.000  0.02
U 0.500 0.500 0.500  2.36
Se 0.101 0.101 0.697  -0.07
Se 0.899 0.899 0.303  -0.07

Output
E_form (uncorrected) in kJ per mole of atoms: -44.70
Space-group type: R-3m
Final energy in eV/atom: -6.18
Magnetization in μB per formula unit: 2.62
V in A^3/atom: 28.501
N(E_F) in states/eV per atom: 0.67